{"formula": "Mo3HPt", "functional": "GGA-PBE", "state": "optimized geometry", "lattice": [[-2.669, -2.797, 4.243], [3.994, -1.635, 1.434], [0.564, 3.968, 2.971]], "species": ["Mo", "Mo", "Mo", "Pt", "Mo", "Pt", "Mo", "H", "Mo", "H"], "fractional_positions": [[0.528, 0.517, 0.024], [0.279, 0.996, 0.179], [0.279, 0.521, 0.549], [0.787, 0.005, 0.198], [0.038, 0.513, 0.028], [0.787, 0.511, 0.530], [0.528, 0.000, 0.704], [0.284, 0.258, 0.864], [0.038, 0.004, 0.700], [0.495, 0.258, 0.364]], "m_tot_mub_per_cell": 0.00, "e_above_lowest_polymorph_mev_per_atom": 63.5, "space_group": "P2"}